# 1
PBE RbTl2PtRh, optimized geometry; space-group type = No. 123; energy relative to the elements = 1.681 eV/atom; mass density = 6.6 g/cm³; uncorrected energy = -2.137 eV per atom
1.0
6.148 0.000 0.000
0.000 5.250 0.000
0.000 0.000 6.148
Pt Rb Tl Rh
1 1 2 1
Direct
0.000 0.500 0.000 Pt
0.000 0.000 0.000 Rb
0.000 0.000 0.500 Tl
0.500 0.000 0.000 Tl
0.500 0.500 0.500 Rh

---

# 2
PBE CaTaS2Cl, optimized geometry; space-group type = No. 123; polymorph energy (0 for the lowest one) = 131.9 kJ per mole of atoms; mass density = 4.1 g/cm³; uncorrected energy = -4.443 eV per atom
1.0
5.170 0.000 0.000
0.000 5.170 0.000
0.000 0.000 4.842
Cl S Ta Ca
1 2 1 1
Direct
0.000 0.000 0.500 Cl
0.500 0.000 0.000 S
0.000 0.500 0.000 S
0.500 0.500 0.500 Ta
0.000 0.000 0.000 Ca